Below is Ta4CuSnN2 after structural relaxation, with properties calculated at the PBE level.

Volume: 116.9 Å³ per cell
Total moment: 0.0 μB/f.u.
Raw total energy: -9.348 eV/atom

Cell and atoms, written as POSCAR:
```
Ta4CuSnN2
1.0
-1.3694 -1.9684 -2.0723
-0.0663 -0.6642 3.0982
-11.5489 6.7676 1.2038
Sn Ta N Cu
1 4 2 1
Direct
0.6667 0.3333 0.5000
0.0000 0.0000 0.6754
0.6667 0.3333 0.8482
0.0000 0.0000 0.3246
0.6667 0.3333 0.1518
0.3333 0.6667 0.7631
0.3333 0.6667 0.2369
0.0000 0.0000 0.0000
```

Below is Zr4CuSnN2 after structural relaxation, with properties calculated at the PBE level.

Volume: 132.0 Å³ per cell
Total moment: 0.0 μB/f.u.
Raw total energy: -8.283 eV/atom

Cell and atoms, written as POSCAR:
```
Zr4CuSnN2
1.0
-2.7055 -0.9108 -1.6421
1.4934 -2.1277 2.0220
-7.9805 4.5142 10.6444
Zr Sn N Cu
4 1 2 1
Direct
0.0000 0.0000 0.6719
0.0000 0.0000 0.3281
0.6667 0.3333 0.8531
0.6667 0.3333 0.1469
0.6667 0.3333 0.5000
0.3333 0.6667 0.7643
0.3333 0.6667 0.2357
0.0000 0.0000 0.0000
```

Below is Sr6Cu3N5 after structural relaxation, with properties calculated at the PBE level.

Volume: 546.0 Å³ per cell
Raw total energy: -4.977 eV/atom

Cell and atoms, written as POSCAR:
```
Sr6Cu3N5
1.0
8.6423 0.0000 0.0000
0.0000 8.6423 0.0000
0.0000 0.0000 7.3099
N Cu Sr
10 6 12
Direct
0.0000 0.7806 0.7388
0.2194 0.0000 0.2388
0.7134 0.5000 0.4836
0.0000 0.5000 0.1340
0.2866 0.5000 0.4836
0.5000 0.2866 0.9836
0.5000 0.0000 0.6340
0.5000 0.7134 0.9836
0.0000 0.2194 0.7388
0.7806 0.0000 0.2388
0.6408 0.0000 0.4341
0.3592 0.0000 0.4341
0.5000 0.5000 0.9714
0.0000 0.6408 0.9341
0.5000 0.5000 0.4714
0.0000 0.3592 0.9341
0.2662 0.6974 0.2116
0.0000 0.5000 0.5227
0.3026 0.7338 0.7116
0.3026 0.2662 0.7116
0.6974 0.7338 0.7116
0.5000 0.0000 0.0227
0.0000 0.0000 0.5026
0.7338 0.3026 0.2116
0.7338 0.6974 0.2116
0.6974 0.2662 0.7116
0.2662 0.3026 0.2116
0.0000 0.0000 0.0026
```

Below is SrCu2N2 after structural relaxation, with properties calculated at the PBE level.

Volume: 64.1 Å³ per cell
Raw total energy: -4.951 eV/atom

Cell and atoms, written as POSCAR:
```
SrCu2N2
1.0
-0.0619 1.0018 3.3415
1.9038 -2.7624 -0.9580
4.7687 3.6336 -1.0011
Sr Cu N
1 2 2
Direct
0.0000 0.0000 0.5000
0.3333 0.6667 0.8759
0.6667 0.3333 0.1241
0.3333 0.6667 0.2147
0.6667 0.3333 0.7853
```

Below is Sr8Tl4Cu3N5 after structural relaxation, with properties calculated at the PBE level.

Volume: 456.8 Å³ per cell
Raw total energy: -4.262 eV/atom

Cell and atoms, written as POSCAR:
```
Sr8Tl4Cu3N5
1.0
3.5183 5.1863 9.6713
-7.8200 7.6382 3.6490
5.2044 -10.0504 -2.1713
Cu Sr N Tl
3 8 5 4
Direct
0.1926 0.1926 0.0000
0.0000 0.0000 0.0000
0.8073 0.8073 0.0000
0.0530 0.4016 0.6514
0.9470 0.5984 0.3486
0.7501 0.4016 0.3486
0.5621 0.2108 0.3513
0.4379 0.7892 0.6487
0.2499 0.5984 0.6514
0.1405 0.7892 0.3513
0.8595 0.2108 0.6487
0.0000 0.5000 0.5000
0.0430 0.1943 0.8486
0.3457 0.1943 0.1514
0.9570 0.8057 0.1514
0.6543 0.8057 0.8486
0.4128 0.4128 0.0000
0.6578 0.0000 0.6578
0.3422 0.0000 0.3422
0.5872 0.5872 0.0000
```

Below is Ta2CuN after structural relaxation, with properties calculated at the PBE level.

Volume: 320.4 Å³ per cell
Total moment: 0.0 μB/f.u.
Raw total energy: -9.353 eV/atom

Cell and atoms, written as POSCAR:
```
Ta2CuN
1.0
4.6350 -2.6499 0.0000
4.6350 2.6499 0.0000
-3.0918 0.0000 13.0455
N Ta Cu
6 12 6
Direct
0.5000 0.0000 0.5000
0.3530 0.7952 0.0003
0.7952 0.3530 0.5003
0.6470 0.2048 0.9997
0.2048 0.6470 0.4997
0.0000 0.5000 0.0000
0.6165 0.4577 0.8727
0.1398 0.3082 0.4158
0.8022 0.9781 0.4162
0.0219 0.1978 0.0838
0.6918 0.8602 0.0842
0.3835 0.5423 0.1273
0.4577 0.6165 0.3727
0.3082 0.1398 0.9158
0.9781 0.8022 0.9162
0.1978 0.0219 0.5838
0.5423 0.3835 0.6273
0.8602 0.6918 0.5842
0.4142 0.1291 0.2497
0.8709 0.5858 0.2503
0.0441 0.9559 0.7500
0.1291 0.4142 0.7497
0.5858 0.8709 0.7503
0.9559 0.0441 0.2500
```

Below is Ta4CuN3 after structural relaxation, with properties calculated at the PBE level.

Volume: 196.5 Å³ per cell
Total moment: 0.0 μB/f.u.
Raw total energy: -10.133 eV/atom

Cell and atoms, written as POSCAR:
```
Ta4CuN3
1.0
3.1484 0.0000 0.0000
-1.5742 2.7266 0.0000
0.0000 0.0000 22.8921
Ta Cu N
8 2 6
Direct
0.3333 0.6667 0.0594
0.3333 0.6667 0.4406
0.6667 0.3333 0.9406
0.6667 0.3333 0.5594
0.0000 0.0000 0.1602
0.0000 0.0000 0.6602
0.0000 0.0000 0.3398
0.0000 0.0000 0.8398
0.6667 0.3333 0.7500
0.3333 0.6667 0.2500
0.6667 0.3333 0.3879
0.3333 0.6667 0.6121
0.3333 0.6667 0.8879
0.6667 0.3333 0.1121
0.0000 0.0000 0.0000
0.0000 0.0000 0.5000
```

Below is Ta3CuN5 after structural relaxation, with properties calculated at the PBE level.

Volume: 109.3 Å³ per cell
Total moment: 0.0 μB/f.u.
Raw total energy: -8.767 eV/atom

Cell and atoms, written as POSCAR:
```
Ta3CuN5
1.0
-1.8353 5.1109 -0.5372
-0.8851 -2.7441 4.6330
3.6495 1.4757 1.5713
Ta N Cu
3 5 1
Direct
0.5000 0.0000 0.5000
0.5000 0.5000 0.5000
0.0000 0.5000 0.5000
0.3333 0.6667 0.8393
0.6667 0.3333 0.8393
0.0000 0.0000 0.5000
0.6667 0.3333 0.1607
0.3333 0.6667 0.1607
0.0000 0.0000 0.0000
```

Below is Ta2CuN after structural relaxation, with properties calculated at the PBE level.

Volume: 109.4 Å³ per cell
Total moment: 0.0 μB/f.u.
Raw total energy: -9.350 eV/atom

Cell and atoms, written as POSCAR:
```
Ta2CuN
1.0
3.1087 0.0000 0.0000
-1.5544 2.6923 0.0000
0.0000 0.0000 13.0719
Ta Cu N
4 2 2
Direct
0.3333 0.6667 0.0916
0.6667 0.3333 0.9084
0.3333 0.6667 0.4084
0.6667 0.3333 0.5916
0.3333 0.6667 0.7500
0.6667 0.3333 0.2500
0.0000 0.0000 0.5000
0.0000 0.0000 0.0000
```

Below is TaCuN2 after structural relaxation, with properties calculated at the PBE level.

Energy above the lowest structure with this stoichiometry: 0 meV per atom
Volume: 49.8 Å³ per cell
Total moment: 0.0 μB/f.u.

Cell and atoms, written as POSCAR:
```
TaCuN2
1.0
-1.5693 2.7182 0.0000
-3.1387 0.0000 0.0000
0.0000 -1.8121 5.8415
N Ta Cu
2 1 1
Direct
0.2117 0.8942 0.3175
0.7883 0.1058 0.6825
0.0000 0.5000 0.5000
0.0000 0.0000 0.0000
```

Below is Ta3CuN2 after structural relaxation, with properties calculated at the PBE level.

Volume: 151.9 Å³ per cell
Total moment: 0.0 μB/f.u.
Raw total energy: -9.854 eV/atom

Cell and atoms, written as POSCAR:
```
Ta3CuN2
1.0
3.0822 0.0000 0.0000
-1.5411 2.6693 0.0000
0.0000 0.0000 18.4641
N Ta Cu
4 6 2
Direct
0.3333 0.6667 0.0700
0.6667 0.3333 0.5700
0.3333 0.6667 0.4300
0.6667 0.3333 0.9300
0.3333 0.6667 0.6373
0.6667 0.3333 0.1373
0.3333 0.6667 0.8627
0.0000 0.0000 0.0000
0.0000 0.0000 0.5000
0.6667 0.3333 0.3627
0.0000 0.0000 0.2500
0.0000 0.0000 0.7500
```

Below is Ta4TlCuN2 after structural relaxation, with properties calculated at the PBE level.

Volume: 118.0 Å³ per cell
Total moment: 0.0 μB/f.u.
Raw total energy: -9.097 eV/atom

Cell and atoms, written as POSCAR:
```
Ta4TlCuN2
1.0
3.1656 0.0000 0.0000
-1.5828 2.7415 0.0000
0.0000 0.0000 13.6015
Ta N Cu Tl
4 2 1 1
Direct
0.0000 0.0000 0.3207
0.6667 0.3333 0.1505
0.0000 0.0000 0.6793
0.6667 0.3333 0.8495
0.3333 0.6667 0.7658
0.3333 0.6667 0.2342
0.0000 0.0000 0.0000
0.6667 0.3333 0.5000
```